Compound: CuAsRh2
Source: the Alexandria database
Functional: PBE
Structure: relaxed

* formation enthalpy at 0 K: -0.16 eV per atom
* VASP energy: -6.0187 eV per atom
* M_tot: 0.00 μB per cell
* DOS(E_F): 2.5 states/eV per cell

a b c (Å): 3.060 3.050 6.720
angles (deg): 62.94 90.00 90.00
Positions (direct):
As: 0.500 0.250 0.250
Cu: 0.500 0.750 0.750
Rh: 0.000 0.507 0.493
Rh: 0.000 0.993 0.007

Compound: Sc2NiH6
Source: the Alexandria database
Functional: PBE
Structure: relaxed

* VASP energy: -4.6341 eV per atom
* M_tot: 0.00 μB per cell
* DOS(E_F): 1.7 states/eV per cell

a b c (Å): 3.227 4.436 5.715
angles (deg): 112.83 106.49 90.00
Positions (direct):
H: 0.832 0.069 0.662
H: 0.168 0.931 0.338
H: 0.832 0.593 0.662
H: 0.500 0.198 0.000
H: 0.500 0.802 0.000
H: 0.168 0.407 0.338
Ni: 0.000 0.000 0.000
Sc: 0.343 0.342 0.684
Sc: 0.657 0.658 0.316

Compound: ScCo3Ge
Source: the Alexandria database
Functional: PBE
Structure: relaxed

* formation enthalpy at 0 K: 0.31 eV per atom
* VASP energy: -6.1453 eV per atom
* M_tot: 2.38 μB per cell
* energy relative to the lowest polymorph listed for this composition: 0 meV/atom
* DOS(E_F): 3.0 states/eV per cell

a b c (Å): 4.314 4.314 4.314
angles (deg): 90.00 90.00 90.00
Positions (direct):
Co: 0.000 0.500 0.000
Co: 0.500 0.000 0.000
Co: 0.000 0.000 0.500
Sc: 0.500 0.500 0.500
Ge: 0.000 0.000 0.000

Compound: CsCaI3
Source: the Alexandria database
Functional: PBE
Structure: relaxed

* VASP energy: -3.0707 eV per atom
* M_tot: 0.00 μB per cell
* DOS(E_F): 0.0 states/eV per cell
* raw formation energy: -1.570 eV/atom

a b c (Å): 18.214 11.297 11.297
angles (deg): 92.86 130.65 49.35
Positions (direct):
I: 0.332 0.966 0.870
I: 0.686 0.911 0.782
I: 0.832 0.370 0.795
I: 0.168 0.370 0.466
I: 0.668 0.034 0.130
I: 0.832 0.630 0.534
I: 0.814 0.282 0.411
I: 0.332 0.705 0.130
I: 0.668 0.295 0.870
I: 0.314 0.089 0.218
I: 0.186 0.718 0.589
I: 0.168 0.630 0.205
Cs: 0.250 0.385 0.885
Cs: 0.750 0.115 0.615
Cs: 0.750 0.615 0.115
Cs: 0.250 0.885 0.385
Ca: 0.924 0.831 0.180
Ca: 0.576 0.680 0.331
Ca: 0.424 0.320 0.669
Ca: 0.076 0.169 0.820